No. 1
## SbTeIr2 (GGA-PBEsol)

Data for a geometry-optimized SbTeIr2 structure.

Cell lengths 3.673, 3.673, 5.619 Å; angles 90.00, 90.00, 90.00 degrees
Element x y z (fractional)
Ir (0.500, 0.500, 0.284)
Sb (0.000, 0.000, 0.429)
Ir (0.000, 0.000, 0.958)
Te (0.500, 0.500, 0.829)

Mass density, kg/m3: 13886
N(E_F), states/eV/cell: 1.38
Uncorrected formation energy, eV per atom: 0.129

***

No. 2
## LaYMg2 (GGA-PBEsol)

Data for a geometry-optimized LaYMg2 structure.

Cell lengths 3.396, 5.154, 6.676 Å; angles 90.00, 104.70, 90.00 degrees
Element x y z (fractional)
Mg (0.815, 0.000, 0.003)
La (0.201, 0.500, 0.777)
Y (0.544, 0.000, 0.463)
Mg (0.940, 0.500, 0.257)

Mass density, kg/m3: 4061
N(E_F), states/eV/cell: 3.99
Energy of formation from the pure elements, eV per atom: -0.04

***

Copy entry 2 word for word.
## LaYMg2 (GGA-PBEsol)

Data for a geometry-optimized LaYMg2 structure.

Cell lengths 3.396, 5.154, 6.676 Å; angles 90.00, 104.70, 90.00 degrees
Element x y z (fractional)
Mg (0.815, 0.000, 0.003)
La (0.201, 0.500, 0.777)
Y (0.544, 0.000, 0.463)
Mg (0.940, 0.500, 0.257)

Mass density, kg/m3: 4061
N(E_F), states/eV/cell: 3.99
Energy of formation from the pure elements, eV per atom: -0.04